1.
# Ga2Te

Crystalline Ga2Te at its relaxed geometry (PBE, the Alexandria database).

Properties
Excess energy over the best structure of this formula in the dataset in eV per atom: 0.061

Geometry as POSCAR:
```
Ga2Te
1.0
0.000 4.143 4.143
4.143 0.000 4.143
4.143 4.143 0.000
Ga Te
4 2
Direct
0.000 0.000 0.000
0.000 0.000 0.500
0.000 0.500 0.000
0.500 0.000 0.000
0.375 0.375 0.375
0.625 0.625 0.625
```

***

2.
# TaAs2IrBr

Crystalline TaAs2IrBr at its relaxed geometry (PBE, the Alexandria database).

Geometry as POSCAR:
```
TaAs2IrBr
1.0
4.759 0.000 0.000
0.000 4.759 0.000
0.000 0.000 5.086
Ta As Ir Br
1 2 1 1
Direct
0.000 0.000 0.000
0.000 0.500 0.500
0.500 0.000 0.500
0.500 0.500 0.500
0.500 0.500 0.000
```

***

3.
# NpInGa2Br6

Crystalline NpInGa2Br6 at its relaxed geometry (PBE, the Alexandria database).

Geometry as POSCAR:
```
NpInGa2Br6
1.0
7.838 0.000 0.000
3.917 6.798 0.000
3.918 2.263 7.115
Np In Ga Br
1 1 2 6
Direct
0.000 0.000 0.000
0.491 0.491 0.527
0.190 0.190 0.429
0.685 0.685 0.947
0.069 0.815 0.734
0.252 0.631 0.214
0.383 0.069 0.734
0.631 0.903 0.214
0.815 0.383 0.734
0.903 0.252 0.214
```

***

4.
# V12Si6Tc

Crystalline V12Si6Tc at its relaxed geometry (PBE, the Alexandria database).

Geometry as POSCAR:
```
V12Si6Tc
1.0
5.797 3.347 2.160
-5.797 3.347 2.160
0.000 -6.694 2.160
V Si Tc
12 6 1
Direct
0.022 0.294 0.168
0.168 0.022 0.294
0.236 0.612 0.689
0.294 0.168 0.022
0.311 0.764 0.388
0.388 0.311 0.764
0.612 0.689 0.236
0.689 0.236 0.612
0.706 0.832 0.978
0.764 0.388 0.311
0.832 0.978 0.706
0.978 0.706 0.832
0.069 0.850 0.560
0.150 0.440 0.931
0.440 0.931 0.150
0.560 0.069 0.850
0.850 0.560 0.069
0.931 0.150 0.440
0.500 0.500 0.500
```

***

Number 1: uncorrected formation energy 0.3 eV per formula unit. Number 2: uncorrected formation energy 5.7 eV per formula unit. Number 3: uncorrected formation energy -8.7 eV per formula unit. Number 4: uncorrected formation energy -5.8 eV per formula unit.